Compound: MoPO5
Source: Alexandria
Functional: GGA+U
Structure: relaxed

Results
relative energy among the computed polymorphs = 0.070 eV/atom
magnetic moment = 1.00 μB/f.u.
space group = Fdd2 (43)

```
28
Lattice="10.341 -0.012 0.008 6.641 6.113 0.007 3.700 -1.923 5.815" Properties=species:S:1:pos:R:3 pbc="T T T"
Mo 13.101 1.570 2.314
Mo 7.582 1.681 2.234
Mo 14.789 0.511 5.292
Mo 16.235 4.829 2.171
P 7.483 1.434 5.633
P 11.722 -0.185 4.590
P 13.200 4.875 3.146
P 8.961 4.393 1.282
O 12.650 3.554 2.566
O 9.252 0.448 1.961
O 8.933 3.221 2.313
O 10.865 -1.171 3.768
O 5.681 -0.822 4.335
O 6.527 -0.055 2.109
O 6.221 2.797 2.476
O 11.431 1.698 1.058
O 14.462 1.450 3.449
O 2.918 -0.411 1.826
O 8.032 1.298 4.197
O 7.423 1.851 0.191
O 15.002 4.350 0.597
O 7.473 4.696 0.888
O 3.814 2.008 0.618
O 13.210 -0.654 4.754
O 16.327 1.848 5.517
O 11.749 1.162 3.801
O 9.818 3.922 0.087
O 14.697 4.624 3.512
```